# 1
# CuBiPbS3 GGA-PBE optimized geometry
# Magnetization in μB/atom: 0.0000
# Uncorrected formation energy in eV/atom: -0.36
data_CuBiPbS3
_space_group_name_H-M_alt 'P n m a'
_space_group_IT_number 62
_cell_length_a 11.890
_cell_length_b 4.062
_cell_length_c 11.313
_cell_angle_alpha 90.00
_cell_angle_beta 90.00
_cell_angle_gamma 90.00
loop_
_space_group_symop_operation_xyz
'x,y,z'
'-x,-y,-z'
'-x+1/2,-y,z+1/2'
'x+1/2,y,-z+1/2'
'x+1/2,-y+1/2,-z+1/2'
'-x+1/2,y+1/2,z+1/2'
'-x,y+1/2,-z'
'x,-y+1/2,z'
loop_
_atom_site_label
_atom_site_fract_x
_atom_site_fract_y
_atom_site_fract_z
Cu1 0.235 0.250 0.205
Bi1 0.015 0.250 0.680
Pb1 0.167 0.750 0.986
S1 0.048 0.250 0.146
S2 0.122 0.750 0.555
S3 0.213 0.250 0.797

# 2
# Zn7Ga5 GGA-PBE optimized geometry
# Energy of formation from the pure elements in meV per atom: 53
# Fermi-level density of states in states/eV/atom: 0.26
# Magnetization in μB/atom: 0.0000
data_Zn7Ga5
_space_group_name_H-M_alt 'C 1 2/m 1'
_space_group_IT_number 12
_cell_length_a 13.592
_cell_length_b 3.182
_cell_length_c 10.249
_cell_angle_alpha 90.00
_cell_angle_beta 115.04
_cell_angle_gamma 90.00
loop_
_space_group_symop_operation_xyz
'x,y,z'
'-x,-y,-z'
'-x,y,-z'
'x,-y,z'
'x+1/2,y+1/2,z'
'-x+1/2,-y+1/2,-z'
'-x+1/2,y+1/2,-z'
'x+1/2,-y+1/2,z'
loop_
_atom_site_label
_atom_site_fract_x
_atom_site_fract_y
_atom_site_fract_z
Zn1 0.000 0.000 0.000
Zn2 0.018 0.500 0.250
Zn3 0.148 0.000 0.748
Zn4 0.167 0.000 0.500
Ga1 0.000 0.500 0.500
Ga2 0.164 0.500 0.995
Ga3 0.185 0.000 0.251

# 3
# K3AsPd GGA-PBE optimized geometry
# Energy of formation from the pure elements in meV per atom: -261
# Fermi-level density of states in states/eV/atom: 0.25
# Magnetization in μB/atom: 0.0000
data_K3AsPd
_space_group_name_H-M_alt 'C m c m'
_space_group_IT_number 63
_space_group_name_Hall '-C 2c 2'
_cell_length_a 5.738
_cell_length_b 9.954
_cell_length_c 10.275
_cell_angle_alpha 90.00
_cell_angle_beta 90.00
_cell_angle_gamma 90.00
loop_
_atom_site_label
_atom_site_fract_x
_atom_site_fract_y
_atom_site_fract_z
K1 0.000 0.166 0.250
K2 0.000 0.167 0.585
As1 0.000 0.500 0.000
Pd1 0.000 0.500 0.250